# Ba4NaSr2 | Alexandria via LeMat-Bulk | PBE-GGA | optimized geometry
# ρ, g cm⁻³: 3.00
# Raw total energy, eV per atom: -1.689
# Crystal system: monoclinic
# Total magnetization, μB/cell: 0.0
# Space group: Pm, No. 6
# Energy of formation, eV/atom: 0.08
data_Ba4NaSr2
_chemical_formula_sum 'Ba4 Na1 Sr2'
_space_group_name_H-M_alt 'P 1'
_space_group_IT_number 1
_cell_length_a 7.028
_cell_length_b 4.159
_cell_length_c 14.597
_cell_angle_alpha 90.00
_cell_angle_beta 103.85
_cell_angle_gamma 90.00
loop_
_space_group_symop_operation_xyz
'x,y,z'
loop_
_atom_site_label
_atom_site_type_symbol
_atom_site_fract_x
_atom_site_fract_y
_atom_site_fract_z
Ba1 Ba 0.000 0.000 0.000
Ba2 Ba 0.138 0.500 0.279
Ba3 Ba 0.718 0.500 0.441
Ba4 Ba 0.857 0.000 0.719
Na1 Na 0.431 0.500 0.860
Sr1 Sr 0.277 0.000 0.559
Sr2 Sr 0.579 0.000 0.160